No. 1
VASP calculation (PBE-GGA) on crystalline SrMo4Br at its relaxed geometry.

Output
N(E_F) = 1.119 states/eV per atom
Formation energy from raw total energies = 0.938 eV per atom
Calculated density = 7.6 g/cm3
V = 481.5 Å³ per cell

Structure (CIF):
```
data_SrMo4Br
_cell_length_a 7.838
_cell_length_b 7.838
_cell_length_c 7.838
_cell_angle_alpha 90.00
_cell_angle_beta 90.00
_cell_angle_gamma 90.00
_symmetry_space_group_name_H-M 'F -4 3 m'
_symmetry_Int_Tables_number 216
_symmetry_space_group_name_Hall 'F -4 2 3'
loop_
_atom_site_label
_atom_site_type_symbol
_atom_site_fract_x
_atom_site_fract_y
_atom_site_fract_z
Sr1 Sr 0.000 0.000 0.000
Mo1 Mo 0.121 0.121 0.379
Br1 Br 0.250 0.250 0.750
```

No. 2
VASP calculation (PBE-GGA) on crystalline TlGe2Au2 at its relaxed geometry.

Output
N(E_F) = 0.347 states/eV per atom
Calculated density = 10.8 g/cm3
ΔH_f (0 K) = 0.09 eV per formula unit
Relative energy among the computed polymorphs = 0.001 eV per atom
V = 228.2 Å³ per cell

Structure (CIF):
```
data_TlGe2Au2
_cell_length_a 4.601
_cell_length_b 4.601
_cell_length_c 10.781
_cell_angle_alpha 90.00
_cell_angle_beta 90.00
_cell_angle_gamma 90.00
_symmetry_space_group_name_H-M 'I 4/m m m'
_symmetry_Int_Tables_number 139
_symmetry_space_group_name_Hall '-I 4 2'
loop_
_atom_site_label
_atom_site_type_symbol
_atom_site_fract_x
_atom_site_fract_y
_atom_site_fract_z
Tl1 Tl 0.000 0.000 0.000
Ge1 Ge 0.000 0.000 0.374
Au1 Au 0.000 0.500 0.250
```

No. 3
VASP calculation (PBE-GGA) on crystalline K3CaIn at its relaxed geometry.

Output
N(E_F) = 0.874 states/eV per atom
Calculated density = 1.5 g/cm3
ΔH_f (0 K) = 1.42 eV per formula unit
Relative energy among the computed polymorphs = 0.000 eV per atom
V = 309.6 Å³ per cell

Structure (CIF):
```
data_K3CaIn
_cell_length_a 6.765
_cell_length_b 6.765
_cell_length_c 6.765
_cell_angle_alpha 90.00
_cell_angle_beta 90.00
_cell_angle_gamma 90.00
_symmetry_space_group_name_H-M 'P m -3 m'
_symmetry_Int_Tables_number 221
_symmetry_space_group_name_Hall '-P 4 2 3'
loop_
_atom_site_label
_atom_site_type_symbol
_atom_site_fract_x
_atom_site_fract_y
_atom_site_fract_z
K1 K 0.000 0.000 0.500
Ca1 Ca 0.500 0.500 0.500
In1 In 0.000 0.000 0.000
```

No. 4
VASP calculation (PBE-GGA) on crystalline Sr2CrCuH6 at its relaxed geometry.

Output
N(E_F) = 0.309 states/eV per atom
DFT total energy = -0.1451 hartree per atom
Calculated density = 4.4 g/cm3
V = 222.3 Å³ per cell

Structure (CIF):
```
data_Sr2CrCuH6
_cell_length_a 5.400
_cell_length_b 5.400
_cell_length_c 7.624
_cell_angle_alpha 90.00
_cell_angle_beta 90.00
_cell_angle_gamma 90.00
_symmetry_space_group_name_H-M 'I 4/m m m'
_symmetry_Int_Tables_number 139
_symmetry_space_group_name_Hall '-I 4 2'
loop_
_atom_site_label
_atom_site_type_symbol
_atom_site_fract_x
_atom_site_fract_y
_atom_site_fract_z
Sr1 Sr 0.000 0.500 0.250
Cr1 Cr 0.000 0.000 0.000
Cu1 Cu 0.000 0.000 0.500
H1 H 0.000 0.000 0.247
H2 H 0.248 0.248 0.000
```

No. 5
VASP calculation (PBE-GGA) on crystalline ReTeF3 at its relaxed geometry.

Output
N(E_F) = 0.328 states/eV per atom
Formation energy from raw total energies = 0.134 eV per atom
Calculated density = 6.1 g/cm3
Relative energy among the computed polymorphs = 0.604 eV per atom
V = 101.4 Å³ per cell

Structure (CIF):
```
data_ReTeF3
_cell_length_a 4.664
_cell_length_b 4.664
_cell_length_c 4.664
_cell_angle_alpha 90.00
_cell_angle_beta 90.00
_cell_angle_gamma 90.00
_symmetry_space_group_name_H-M 'P m -3 m'
_symmetry_Int_Tables_number 221
_symmetry_space_group_name_Hall '-P 4 2 3'
loop_
_atom_site_label
_atom_site_type_symbol
_atom_site_fract_x
_atom_site_fract_y
_atom_site_fract_z
Re1 Re 0.000 0.000 0.000
Te1 Te 0.500 0.500 0.500
F1 F 0.000 0.500 0.500
```